Below is crystalline Ba3Al5 at its relaxed geometry, with properties calculated at the PBE level.

Cell lengths 6.080, 6.080, 14.741 Å; angles 90.00, 90.00, 120.00 degrees
Fractional positions:
Ba  0.000  0.000  0.000
Ba  0.000  0.000  0.500
Ba  0.333  0.667  0.126
Ba  0.333  0.667  0.374
Ba  0.667  0.333  0.626
Ba  0.667  0.333  0.874
Al  0.154  0.309  0.750
Al  0.154  0.846  0.750
Al  0.309  0.154  0.250
Al  0.333  0.667  0.616
Al  0.333  0.667  0.884
Al  0.667  0.333  0.116
Al  0.667  0.333  0.384
Al  0.691  0.846  0.750
Al  0.846  0.154  0.250
Al  0.846  0.691  0.250

Formation enthalpy at 0 K ... -0.235 eV per atom
SG ... No. 194
Magnetization ... 0.000 μB/f.u.
D(E_F) ... 0.43 states/eV per atom